Entry 1:
{"formula": "Re2SbAu", "functional": "PBE", "state": "optimized geometry", "crystal_system": "trigonal", "formation_energy_uncorrected_ev_per_atom": 0.720, "lattice": [[3.016, 0.000, 0.000], [-1.508, 2.612, 0.000], [0.000, 0.000, 26.180]], "species": ["Re", "Re", "Re", "Re", "Re", "Re", "Sb", "Sb", "Sb", "Au", "Au", "Au"], "frac_coords": [[0.000, 0.000, 0.248], [0.000, 0.000, 0.752], [0.333, 0.667, 0.419], [0.333, 0.667, 0.915], [0.667, 0.333, 0.085], [0.667, 0.333, 0.581], [0.000, 0.000, 0.500], [0.333, 0.667, 0.167], [0.667, 0.333, 0.833], [0.000, 0.000, 0.000], [0.333, 0.667, 0.667], [0.667, 0.333, 0.333]]}

***

Entry 2:
{"formula": "Tb2CePmTl4", "functional": "PBE", "state": "optimized geometry", "crystal_system": "trigonal", "total_energy_ev_per_fu": -32.0, "lattice": [[2.721, 1.571, 8.911], [-2.721, 1.571, 8.911], [0.000, -3.142, 8.911]], "species": ["Tb", "Tb", "Ce", "Pm", "Tl", "Tl", "Tl", "Tl"], "frac_coords": [[0.250, 0.250, 0.250], [0.750, 0.750, 0.750], [0.000, 0.000, 0.000], [0.500, 0.500, 0.500], [0.125, 0.125, 0.125], [0.375, 0.375, 0.375], [0.625, 0.625, 0.625], [0.875, 0.875, 0.875]]}

***

Entry 3:
{"formula": "CdAg2Te", "functional": "PBE", "state": "optimized geometry", "crystal_system": "tetragonal", "formation_energy_uncorrected_ev_per_atom": 0.065, "relative_energy_ev_per_atom": 0.067, "lattice": [[4.357, 0.000, 0.000], [0.000, 4.357, 0.000], [0.000, 0.000, 9.259]], "species": ["Cd", "Cd", "Ag", "Ag", "Ag", "Ag", "Te", "Te"], "frac_coords": [[0.000, 0.000, 0.000], [0.500, 0.500, 0.500], [0.000, 0.000, 0.500], [0.000, 0.500, 0.750], [0.500, 0.000, 0.250], [0.500, 0.500, 0.000], [0.000, 0.500, 0.250], [0.500, 0.000, 0.750]]}

***

Entry 4:
{"formula": "Ac3PmAu6", "functional": "PBE", "state": "optimized geometry", "crystal_system": "cubic", "total_energy_ev_per_fu": -38.7, "lattice": [[0.000, 5.536, 5.536], [5.536, 0.000, 5.536], [5.536, 5.536, 0.000]], "species": ["Ac", "Ac", "Ac", "Pm", "Au", "Au", "Au", "Au", "Au", "Au"], "frac_coords": [[0.000, 0.000, 0.000], [0.250, 0.250, 0.250], [0.750, 0.750, 0.750], [0.500, 0.500, 0.500], [0.255, 0.255, 0.745], [0.255, 0.745, 0.255], [0.255, 0.745, 0.745], [0.745, 0.255, 0.255], [0.745, 0.255, 0.745], [0.745, 0.745, 0.255]]}

***

Entry 5:
{"formula": "Cd2FeAs", "functional": "PBE", "state": "optimized geometry", "crystal_system": "tetragonal", "total_energy_ev_per_fu": -14.5, "lattice": [[2.956, 0.000, 0.000], [0.000, 2.956, 0.000], [0.000, 0.000, 8.410]], "species": ["Cd", "Cd", "Fe", "As"], "frac_coords": [[0.000, 0.000, 0.000], [0.500, 0.500, 0.301], [0.000, 0.000, 0.529], [0.500, 0.500, 0.673]]}

***

Entry 6:
{"formula": "ReRhCl2", "functional": "PBE", "state": "optimized geometry", "crystal_system": "cubic", "formation_energy_uncorrected_ev_per_atom": 1.160, "relative_energy_ev_per_atom": 1.190, "lattice": [[6.197, 0.000, 0.000], [0.000, 6.197, 0.000], [0.000, 0.000, 6.197]], "species": ["Re", "Re", "Re", "Re", "Rh", "Rh", "Rh", "Rh", "Cl", "Cl", "Cl", "Cl", "Cl", "Cl", "Cl", "Cl"], "frac_coords": [[0.000, 0.000, 0.000], [0.000, 0.500, 0.500], [0.500, 0.000, 0.500], [0.500, 0.500, 0.000], [0.000, 0.000, 0.500], [0.000, 0.500, 0.000], [0.500, 0.000, 0.000], [0.500, 0.500, 0.500], [0.250, 0.250, 0.250], [0.250, 0.250, 0.750], [0.250, 0.750, 0.250], [0.250, 0.750, 0.750], [0.750, 0.250, 0.250], [0.750, 0.250, 0.750], [0.750, 0.750, 0.250], [0.750, 0.750, 0.750]]}

***

Entry 7:
{"formula": "MnSi4", "functional": "PBE", "state": "optimized geometry", "crystal_system": "cubic", "formation_energy_uncorrected_ev_per_atom": 0.588, "relative_energy_ev_per_atom": 0.484, "lattice": [[4.422, 0.000, 0.000], [0.000, 4.422, 0.000], [0.000, 0.000, 4.422]], "species": ["Mn", "Si", "Si", "Si", "Si"], "frac_coords": [[0.000, 0.000, 0.000], [0.000, 0.000, 0.500], [0.000, 0.500, 0.000], [0.500, 0.000, 0.000], [0.500, 0.500, 0.500]]}

***

Entry 8:
{"formula": "BaAgSe3", "functional": "PBE", "state": "optimized geometry", "crystal_system": "cubic", "formation_energy_uncorrected_ev_per_atom": 0.382, "relative_energy_ev_per_atom": 1.000, "lattice": [[6.201, 0.000, 0.000], [0.000, 6.201, 0.000], [0.000, 0.000, 6.201]], "species": ["Ba", "Ag", "Se", "Se", "Se"], "frac_coords": [[0.000, 0.000, 0.000], [0.500, 0.500, 0.500], [0.000, 0.000, 0.500], [0.000, 0.500, 0.000], [0.500, 0.000, 0.000]]}